No. 1
A geometry-optimized TmHf2ScN4 structure. Source: the Alexandria database, functional GGA-PBE.

Results
Uncorrected formation energy, eV per formula unit: -14.9
Total magnetic moment, μB per formula unit: 0.00
Density of states at the Fermi level, states/eV/cell: 3.31
Volume, A^3/atom: 12.13

abc: 5.612 3.244 5.651
angles: 90.00 109.42 90.00
Space group P2/m (No. 10)
One atom of each set of equivalent atoms:
Tm 0.000 0.000 0.000 (multiplicity 1)
Hf 0.000 0.500 0.500 (multiplicity 1)
Hf 0.500 0.000 0.500 (multiplicity 1)
Sc 0.500 0.500 0.000 (multiplicity 1)
N 0.251 0.000 0.739 (multiplicity 2)
N 0.259 0.500 0.264 (multiplicity 2)

No. 2
A geometry-optimized Li2AcTmGe2 structure. Source: the Alexandria database, functional GGA-PBE.

Results
Total magnetic moment, μB per formula unit: 0.00
Density of states at the Fermi level, states/eV/cell: 1.27
Volume, A^3/atom: 22.52
Calculated formation energy, eV/f.u.: -3.90

abc: 4.5158 4.5158 7.6499
angles: 90.00 90.00 120.00
Space group P-3m1 (No. 164)
One atom of each set of equivalent atoms:
Li 0.3333 0.6667 0.1851 (multiplicity 2)
Ac 0.0000 0.0000 0.5000 (multiplicity 1)
Tm 0.0000 0.0000 0.0000 (multiplicity 1)
Ge 0.3333 0.6667 0.7816 (multiplicity 2)

| no. | VASP energy (eV per formula unit) |
| --- | --- |
| 1 | -78.94 |
| 2 | -25.54 |